{"formula": "ScCd2Se", "functional": "meta-GGA SCAN", "state": "single point on PBEsol structure", "e_form_raw_ev_per_atom": -0.2517, "lattice": [[3.719, 0.000, 0.000], [1.859, 3.221, 0.000], [1.859, 1.074, 7.791]], "species": ["Cd", "Cd", "Se", "Sc"], "fractional_positions": [[0.742, 0.742, 0.773], [0.258, 0.258, 0.227], [0.000, 0.000, 0.000], [0.500, 0.500, 0.500]]}

{"formula": "AlRe5", "functional": "meta-GGA SCAN", "state": "single point on PBEsol structure", "formation_energy_ev_per_atom": -0.08, "lattice": [[2.801, 0.000, 0.000], [0.000, 2.801, 0.000], [0.000, 0.000, 11.012]], "species": ["Re", "Re", "Re", "Re", "Re", "Al"], "fractional_positions": [[0.000, 0.000, 0.500], [0.000, 0.000, 0.162], [0.000, 0.000, 0.838], [0.500, 0.500, 0.676], [0.500, 0.500, 0.324], [0.500, 0.500, 0.000]]}

{"formula": "LaCrCo2", "functional": "meta-GGA SCAN", "state": "single point on PBEsol structure", "formation_energy_ev_per_atom": 0.65, "lattice": [[4.300, 0.000, 0.000], [2.150, 3.724, 0.000], [2.150, 1.241, 3.511]], "species": ["La", "Co", "Cr", "Co"], "fractional_positions": [[0.250, 0.250, 0.250], [0.750, 0.750, 0.750], [0.500, 0.500, 0.500], [0.000, 0.000, 0.000]]}

{"formula": "WSe5", "functional": "meta-GGA SCAN", "state": "single point on PBEsol structure", "e_form_raw_ev_per_atom": 0.9460, "lattice": [[4.901, 0.000, 0.000], [-2.450, 4.244, 0.000], [0.000, 0.000, 7.070]], "species": ["Se", "W", "Se", "Se", "Se", "Se"], "fractional_positions": [[0.000, 0.500, 0.500], [0.000, 0.000, 0.000], [0.333, 0.667, 0.000], [0.500, 0.000, 0.500], [0.500, 0.500, 0.500], [0.667, 0.333, 0.000]]}

{"formula": "AlCd2Pb", "functional": "meta-GGA SCAN", "state": "single point on PBEsol structure", "formation_energy_ev_per_atom": 0.19, "lattice": [[-0.903, -0.580, 3.097], [-2.691, -4.027, -1.521], [6.251, -0.935, -0.095]], "species": ["Cd", "Pb", "Al", "Cd"], "fractional_positions": [[0.500, 0.000, 0.500], [0.000, 0.000, 0.000], [0.500, 0.500, 0.000], [0.000, 0.500, 0.500]]}

{"formula": "Zn2IrRh", "functional": "meta-GGA SCAN", "state": "single point on PBEsol structure", "formation_energy_ev_per_atom": -0.29, "lattice": [[2.761, 0.000, 0.000], [0.000, 4.467, -0.003], [-1.380, -1.918, 4.383]], "species": ["Zn", "Zn", "Rh", "Ir"], "fractional_positions": [[0.992, 0.916, 0.985], [0.758, 0.333, 0.516], [0.243, 0.829, 0.486], [0.507, 0.421, 0.014]]}

{"formula": "SrWAu", "functional": "meta-GGA SCAN", "state": "single point on PBEsol structure", "formation_energy_ev_per_atom": 0.60, "lattice": [[2.894, 0.000, 0.000], [0.000, 4.069, 0.000], [-1.447, -2.034, 5.744]], "species": ["Sr", "W", "Au"], "fractional_positions": [[0.662, 0.662, 0.325], [0.377, 0.377, 0.755], [0.960, 0.960, 0.920]]}

{"formula": "BeCd2CN", "functional": "meta-GGA SCAN", "state": "single point on PBEsol structure", "e_form_raw_ev_per_atom": 0.8207, "lattice": [[3.037, 0.000, 0.000], [0.000, 4.684, 0.000], [0.000, 0.000, 4.684]], "species": ["C", "N", "Cd", "Be", "Cd"], "fractional_positions": [[0.500, 0.500, 0.500], [0.000, 0.000, 0.000], [0.000, 0.500, 0.000], [0.500, 0.000, 0.000], [0.000, 0.000, 0.500]]}

{"formula": "Sb2O5", "functional": "meta-GGA SCAN", "state": "single point on PBEsol structure", "e_form_raw_ev_per_atom": -1.3138, "lattice": [[3.959, 0.000, 0.000], [-1.980, 5.067, 0.000], [0.000, 0.000, 9.683]], "species": ["O", "O", "O", "Sb", "Sb", "O", "O", "O", "O", "Sb", "O", "Sb", "O", "O"], "fractional_positions": [[0.291, 0.581, 0.750], [0.184, 0.368, 0.036], [0.550, 0.100, 0.879], [0.635, 0.270, 0.064], [0.365, 0.730, 0.564], [0.450, 0.900, 0.121], [0.184, 0.368, 0.464], [0.450, 0.900, 0.379], [0.816, 0.632, 0.536], [0.365, 0.730, 0.936], [0.709, 0.419, 0.250], [0.635, 0.270, 0.436], [0.816, 0.632, 0.964], [0.550, 0.100, 0.621]]}

{"formula": "Hg2AsW", "functional": "meta-GGA SCAN", "state": "single point on PBEsol structure", "formation_energy_ev_per_atom": 0.44, "lattice": [[-1.122, 1.682, 2.426], [-1.313, -2.609, 1.201], [6.489, -1.429, 3.993]], "species": ["Hg", "As", "Hg", "W"], "fractional_positions": [[0.500, 0.500, 0.283], [0.500, 0.500, 0.695], [0.000, 0.000, 0.986], [0.000, 0.000, 0.535]]}

{"formula": "NbMo3S", "functional": "meta-GGA SCAN", "state": "single point on PBEsol structure", "e_form_raw_ev_per_atom": 2.2447, "lattice": [[4.716, 0.000, 0.000], [0.000, 4.716, 0.000], [0.000, 0.000, 4.716]], "species": ["Mo", "Mo", "Nb", "S", "Mo"], "fractional_positions": [[0.500, 0.000, 0.000], [0.000, 0.500, 0.000], [0.000, 0.000, 0.000], [0.500, 0.500, 0.500], [0.000, 0.000, 0.500]]}

{"formula": "NiIr2Rh", "functional": "meta-GGA SCAN", "state": "single point on PBEsol structure", "formation_energy_ev_per_atom": -0.01, "lattice": [[-2.015, -1.131, 1.341], [-1.818, -1.461, -1.302], [3.439, -7.819, 1.233]], "species": ["Rh", "Ni", "Ir", "Ir"], "fractional_positions": [[0.000, 0.000, 0.000], [0.500, 0.500, 0.500], [0.753, 0.753, 0.740], [0.247, 0.247, 0.260]]}

{"formula": "K2NaAu2", "functional": "meta-GGA SCAN", "state": "single point on PBEsol structure", "formation_energy_ev_per_atom": -0.33, "lattice": [[4.819, 0.000, 0.000], [0.000, 7.931, 0.000], [0.000, 0.000, 7.931]], "species": ["K", "K", "Na", "Au", "Au", "Au", "Au", "K", "Na", "K"], "fractional_positions": [[0.500, 0.667, 0.833], [0.500, 0.167, 0.667], [0.000, 0.000, 0.000], [0.000, 0.124, 0.376], [0.000, 0.376, 0.876], [0.000, 0.876, 0.624], [0.000, 0.624, 0.124], [0.500, 0.333, 0.167], [0.000, 0.500, 0.500], [0.500, 0.833, 0.333]]}

{"formula": "BaSr2Mg", "functional": "meta-GGA SCAN", "state": "single point on PBEsol structure", "formation_energy_ev_per_atom": 0.06, "lattice": [[4.928, 0.000, 0.000], [0.000, 6.003, 0.000], [0.000, 0.000, 6.042]], "species": ["Ba", "Mg", "Sr", "Sr"], "fractional_positions": [[0.500, 0.000, 0.500], [0.000, 0.500, 0.500], [0.500, 0.500, 0.000], [0.000, 0.000, 0.000]]}

{"formula": "ZnSi2Mo", "functional": "meta-GGA SCAN", "state": "single point on PBEsol structure", "e_form_raw_ev_per_atom": 0.5755, "lattice": [[4.295, 0.000, 0.000], [2.148, 3.720, 0.000], [2.148, 1.240, 3.507]], "species": ["Si", "Zn", "Mo", "Si"], "fractional_positions": [[0.750, 0.750, 0.750], [0.250, 0.250, 0.250], [0.500, 0.500, 0.500], [0.000, 0.000, 0.000]]}

{"formula": "CaZrOs2", "functional": "meta-GGA SCAN", "state": "single point on PBEsol structure", "formation_energy_ev_per_atom": 0.42, "lattice": [[-3.408, 1.280, -1.480], [1.125, -1.151, -3.585], [-0.727, -4.186, 3.270]], "species": ["Os", "Os", "Zr", "Ca"], "fractional_positions": [[0.750, 0.250, 0.500], [0.000, 0.000, 0.000], [0.500, 0.500, 0.000], [0.250, 0.750, 0.500]]}

{"formula": "CdCoP3", "functional": "meta-GGA SCAN", "state": "single point on PBEsol structure", "formation_energy_ev_per_atom": 1.80, "lattice": [[4.814, 0.000, 0.000], [0.000, 4.814, 0.000], [0.000, 0.000, 4.814]], "species": ["Co", "P", "P", "Cd", "P"], "fractional_positions": [[0.500, 0.500, 0.500], [0.500, 0.000, 0.000], [0.000, 0.000, 0.500], [0.000, 0.000, 0.000], [0.000, 0.500, 0.000]]}

{"formula": "SrBeRu4", "functional": "meta-GGA SCAN", "state": "single point on PBEsol structure", "formation_energy_ev_per_atom": 0.63, "lattice": [[5.174, 0.000, 0.000], [2.587, 4.481, 0.000], [2.587, 1.494, 4.224]], "species": ["Sr", "Be", "Ru", "Ru", "Ru", "Ru"], "fractional_positions": [[0.750, 0.750, 0.750], [0.000, 0.000, 0.000], [0.374, 0.374, 0.878], [0.878, 0.374, 0.374], [0.374, 0.878, 0.374], [0.374, 0.374, 0.374]]}

{"formula": "LaAg2Br", "functional": "meta-GGA SCAN", "state": "single point on PBEsol structure", "e_form_raw_ev_per_atom": -0.5898, "lattice": [[3.582, 0.000, 0.000], [0.000, 3.594, 0.000], [-1.791, 0.000, 7.498]], "species": ["Ag", "Ag", "Br", "La"], "fractional_positions": [[0.349, 0.500, 0.698], [0.926, 0.000, 0.852], [0.182, 0.000, 0.364], [0.558, 0.500, 0.116]]}

{"formula": "SnSbWI2", "functional": "meta-GGA SCAN", "state": "single point on PBEsol structure", "e_form_raw_ev_per_atom": 1.6262, "lattice": [[5.682, 0.000, 0.000], [0.000, 5.682, 0.000], [0.000, 0.000, 5.768]], "species": ["Sn", "Sb", "I", "W", "I"], "fractional_positions": [[0.000, 0.000, 0.000], [0.000, 0.000, 0.500], [0.000, 0.500, 0.000], [0.500, 0.500, 0.500], [0.500, 0.000, 0.000]]}